MnSnPdF2 GGA+U relaxed; crystal system = tetragonal; mass density = 5.638 Mg/m³; Fermi-level density of states = 1.09 states/eV per cell; calculated total energy = -5.46 eV/atom
1.0
3.9525 0.0000 0.0000
0.0000 5.9964 0.0000
0.0000 0.0000 3.9525
Mn Sn Pd F
1 1 1 2
Cartesian
0.0000 0.0000 0.0000
1.9762 2.9982 1.9762
0.0000 2.9982 0.0000
0.0000 0.0000 1.9762
1.9762 0.0000 0.0000

Ta2MnPdF GGA+U relaxed; crystal system = tetragonal; mass density = 10.629 Mg/m³; Fermi-level density of states = 5.74 states/eV per cell; calculated total energy = -6.86 eV/atom
1.0
-3.0075 -0.4968 3.7698
-2.0211 -2.2898 -1.9142
2.6587 -3.7109 1.6320
F Mn Pd Ta
1 1 1 2
Cartesian
-1.0105 -1.1449 -0.9571
0.0000 0.0000 0.0000
-1.1849 -3.2488 1.7438
1.3293 -1.8555 0.8160
-1.5037 -0.2484 1.8849

MnTePd2F GGA+U relaxed; crystal system = tetragonal; mass density = 5.147 Mg/m³; Fermi-level density of states = 3.45 states/eV per cell; calculated total energy = -4.45 eV/atom
1.0
4.9656 0.0000 0.0000
0.0000 5.4218 0.0000
0.0000 0.0000 4.9656
Mn Te Pd F
1 1 2 1
Cartesian
0.0000 2.7109 0.0000
0.0000 0.0000 0.0000
0.0000 0.0000 2.4828
2.4828 0.0000 0.0000
2.4828 2.7109 2.4828

Mn3Tl2PdF12 GGA+U relaxed; crystal system = trigonal; mass density = 4.749 Mg/m³; Fermi-level density of states = 3.54 states/eV per cell; calculated total energy = -5.19 eV/atom
1.0
-4.1841 -1.7504 -6.2118
-0.0941 -7.1790 -2.7587
-6.3100 -4.3523 0.6315
Mn Tl Pd F
3 2 1 12
Cartesian
-2.0920 -0.8752 -3.1059
-0.0471 -3.5895 -1.3794
-3.1550 -2.1762 0.3158
-7.1060 -8.9137 -5.5965
-3.4822 -4.3680 -2.7425
0.0000 0.0000 0.0000
-7.3026 -6.9037 -2.2038
-6.0172 -9.6817 -8.0934
-7.2904 -11.2399 -3.9951
-5.9561 -5.2558 -6.5381
-9.7397 -7.9889 -6.0631
-3.3657 -8.6940 -4.3511
-3.2856 -6.3781 -6.1352
-4.5710 -3.6001 -0.2457
-3.2978 -2.0419 -4.3439
-4.6321 -8.0260 -1.8009
-0.8485 -5.2929 -2.2760
-7.2225 -4.5878 -3.9880

MnTlPdF6 GGA+U relaxed; crystal system = monoclinic; mass density = 4.741 Mg/m³; Fermi-level density of states = 0.20 states/eV per cell; calculated total energy = -4.78 eV/atom
1.0
6.2232 0.0015 0.1352
3.1156 4.6505 0.0671
0.1411 -0.0008 5.8093
Mn Tl Pd F
1 1 1 6
Cartesian
3.1841 1.5568 2.9714
6.3645 0.1429 5.9444
6.2956 3.1206 3.0411
7.3876 1.7080 2.1290
2.4058 0.0782 4.0066
5.1994 1.7103 3.9525
2.5879 2.7849 4.2030
3.7806 2.7787 1.7337
3.9616 0.0746 1.9418

PmMnF5 GGA+U relaxed; crystal system = monoclinic; mass density = 4.144 Mg/m³; Fermi-level density of states = 0.00 states/eV per cell; calculated total energy = -6.55 eV/atom
1.0
-5.5328 0.9714 -1.6994
-0.4115 -1.7432 -5.5888
-3.8934 -6.8532 -0.3434
Pm Mn F
2 2 10
Cartesian
-6.1591 -5.3843 -3.6989
-3.6785 -2.2407 -3.9327
0.0000 0.0000 0.0000
-1.9467 -3.4266 -0.1717
-4.9496 -6.1277 -1.9798
-4.1518 -4.5592 -4.5973
-2.7898 -2.8140 -1.9700
-7.8680 -4.4785 -2.4011
-5.7418 -7.4947 -4.6421
-4.0959 -0.1304 -2.9896
-1.9697 -3.1465 -5.2306
-7.0479 -4.8110 -5.6617
-5.6858 -3.0658 -3.0344
-4.8881 -1.4973 -5.6518

PmMn2F8 GGA+U relaxed; crystal system = monoclinic; mass density = 4.252 Mg/m³; Fermi-level density of states = 1.85 states/eV per cell; calculated total energy = -6.16 eV/atom
1.0
-1.2528 0.0249 -5.2946
4.9350 -2.5606 -0.2292
-1.0577 -5.3350 1.1757
Pm Mn F
1 2 8
Cartesian
0.0000 0.0000 0.0000
0.5647 -2.5255 -2.5786
2.0598 -5.3452 -1.7695
-1.3282 -3.6566 -2.8534
0.2465 -5.9300 -0.6259
-0.2414 -1.5387 -4.0683
2.8659 -6.3320 -0.2799
2.3780 -1.9408 -3.7223
3.9527 -4.2141 -1.4948
1.3611 -3.4688 -1.0442
1.2633 -4.4019 -3.3040

Rb2PmMnF6 GGA+U relaxed; crystal system = orthorhombic; mass density = 3.851 Mg/m³; Fermi-level density of states = 4.36 states/eV per cell; calculated total energy = -5.49 eV/atom
1.0
6.8681 0.0000 0.0000
0.0000 7.2859 0.0000
0.0000 0.0000 8.3559
Rb Pm Mn F
4 2 2 12
Cartesian
3.4341 4.6610 1.9963
0.0000 2.6249 6.1743
3.4341 4.6610 6.3596
0.0000 2.6249 2.1816
0.0000 6.0528 4.1780
3.4341 1.2331 0.0000
3.4341 0.7888 4.1780
0.0000 6.4971 0.0000
3.4341 1.6478 2.2429
3.4341 1.6478 6.1130
0.0000 5.6381 1.9351
0.0000 5.6381 6.4208
1.3630 0.6740 4.1780
5.5051 0.6740 4.1780
1.4938 4.3493 4.1780
5.3744 4.3493 4.1780
4.9278 2.9366 0.0000
1.9403 2.9366 0.0000
2.0710 6.6118 0.0000
4.7971 6.6118 0.0000

PmMnTlF6 GGA+U relaxed; crystal system = trigonal; mass density = 4.786 Mg/m³; Fermi-level density of states = 0.00 states/eV per cell; calculated total energy = -5.93 eV/atom
1.0
6.0730 0.0000 0.0000
-3.0365 5.2594 0.0000
0.0000 0.0000 11.2601
Pm Mn Tl F
2 2 2 12
Cartesian
3.0365 1.7531 2.8150
0.0000 3.5063 8.4451
0.0000 3.5063 2.8150
3.0365 1.7531 8.4451
0.0000 0.0000 0.0000
0.0000 0.0000 5.6300
1.8172 3.2983 1.6637
-1.0887 2.0365 1.6637
2.3080 0.0754 7.2938
4.1252 3.2229 9.5963
1.0887 2.0365 3.9663
-1.8172 3.2983 3.9663
3.7650 0.0754 9.5963
0.7285 5.1840 3.9663
4.8537 1.9611 7.2938
-0.7285 5.1840 1.6637
1.9478 3.2229 7.2938
1.2194 1.9611 9.5963

PmMn3Tl2F12 GGA+U relaxed; crystal system = trigonal; mass density = 5.026 Mg/m³; Fermi-level density of states = 0.12 states/eV per cell; calculated total energy = -5.75 eV/atom
1.0
7.4867 -0.1298 -0.0921
3.5844 6.5741 -0.0921
3.5844 2.0864 6.2349
Pm Mn Tl F
1 3 2 12
Cartesian
0.0000 0.0000 0.0000
3.7433 -0.0649 -0.0460
1.7922 3.2871 -0.0460
1.7922 1.0432 3.1175
9.2523 5.3856 3.8200
5.4032 3.1451 2.2308
6.3825 3.7152 5.6531
11.1504 6.4904 2.1493
9.1363 7.6343 5.4150
8.8592 2.3086 1.6374
11.1504 4.1742 5.4150
6.3825 6.5634 1.6374
8.2730 4.8156 0.3977
3.5052 2.0403 3.9014
5.5193 0.8964 0.6358
5.7963 6.2222 4.4133
3.5052 4.3566 0.6358
8.2730 1.9673 4.4133

PmMnTl2F6 GGA+U relaxed; crystal system = orthorhombic; mass density = 6.567 Mg/m³; Fermi-level density of states = 5.20 states/eV per cell; calculated total energy = -5.44 eV/atom
1.0
6.3689 0.0000 0.0000
0.0000 6.3723 0.0000
0.0000 0.0000 9.0048
Pm Mn Tl F
2 2 4 12
Cartesian
3.1845 1.5901 4.5024
0.0000 4.7822 0.0000
0.0000 4.7775 4.5024
3.1845 1.5949 0.0000
3.1845 4.7761 2.2513
0.0000 1.5962 6.7537
3.1845 4.7761 6.7535
0.0000 1.5962 2.2511
3.1845 1.5956 2.2029
3.1845 1.5956 6.8019
0.0000 4.7767 2.2995
0.0000 4.7767 6.7053
1.5648 6.3319 4.5024
4.8041 6.3319 4.5024
1.5591 3.2153 4.5024
4.8099 3.2153 4.5024
4.7435 3.1570 0.0000
1.6254 3.1570 0.0000
1.6196 0.0405 0.0000
4.7493 0.0405 0.0000

PrMnF2 GGA+U relaxed; crystal system = trigonal; mass density = 5.046 Mg/m³; Fermi-level density of states = 1.81 states/eV per cell; calculated total energy = -5.86 eV/atom
1.0
3.7132 0.0000 0.0000
1.8566 3.2157 0.0000
1.8566 1.0719 6.4440
Pr Mn F
1 1 2
Cartesian
0.0000 0.0000 0.0000
3.7132 2.1438 3.2220
1.8566 1.0719 3.9953
5.5698 3.2157 2.4487

PrMn3Tl2F12 GGA+U relaxed; crystal system = trigonal; mass density = 5.122 Mg/m³; Fermi-level density of states = 0.36 states/eV per cell; calculated total energy = -5.75 eV/atom
1.0
-5.4632 4.6921 1.5575
-6.2719 -0.9177 -3.7562
-5.7003 -2.7510 3.7718
Pr Mn Tl F
1 3 2 12
Cartesian
0.0000 0.0000 0.0000
-2.7316 2.3460 0.7788
-3.1360 -0.4588 -1.8781
-2.8502 -1.3755 1.8859
-10.9038 0.6400 0.9838
-6.5316 0.3834 0.5893
-8.3502 -1.4873 2.8409
-12.4815 2.2507 -0.4765
-12.5981 -1.4113 0.6129
-8.1983 3.2826 1.4220
-12.2002 1.3487 3.2273
-8.7165 -0.3124 -1.9833
-9.0852 2.5106 -1.2678
-4.9540 -1.2273 2.0497
-4.8373 2.4347 0.9603
-9.2372 -2.2592 0.1512
-5.2352 -0.3253 -1.6541
-8.7189 1.3357 3.5564

Mn2PtF GGA+U relaxed; crystal system = tetragonal; mass density = 8.121 Mg/m³; Fermi-level density of states = 2.45 states/eV per cell; calculated total energy = -6.47 eV/atom; polymorph energy (0 for the lowest one) = 0 meV per atom
1.0
-3.3315 -5.4718 0.3830
5.4844 -3.3153 0.3414
1.0297 -4.1407 3.5684
Mn Pt F
4 2 2
Cartesian
-0.9546 -4.5662 1.1529
3.0841 -4.0944 1.1746
1.8835 -6.5844 2.9669
2.3521 -10.6105 3.2913
0.0000 0.0000 0.0000
-0.6127 -7.0030 2.1568
1.0764 -4.3935 0.3622
3.7952 -5.9248 2.1360

Mn2PtF2 GGA+U relaxed; crystal system = tetragonal; mass density = 7.696 Mg/m³; Fermi-level density of states = 1.65 states/eV per cell; calculated total energy = -6.07 eV/atom; polymorph energy (0 for the lowest one) = 0 meV per atom
1.0
7.1577 0.0000 0.0000
0.0000 7.1577 0.0000
0.0000 0.0000 2.8888
Mn Pt F
4 2 4
Cartesian
1.6428 5.2216 1.4444
5.2216 5.5150 1.4444
5.5150 1.9361 1.4444
1.9361 1.6428 1.4444
0.0000 0.0000 0.0000
3.5789 3.5789 0.0000
2.7351 6.3140 0.0000
6.3140 4.4226 0.0000
4.4226 0.8437 0.0000
0.8437 2.7351 0.0000

Mn3PtF GGA+U relaxed; crystal system = cubic; mass density = 7.688 Mg/m³; Fermi-level density of states = 1.74 states/eV per cell; calculated total energy = -6.45 eV/atom; polymorph energy (0 for the lowest one) = 0 meV per atom
1.0
4.3417 0.0000 0.0000
0.0000 4.3417 0.0000
0.0000 0.0000 4.3417
Mn Pt F
3 1 1
Cartesian
0.0000 2.1708 0.0000
0.0000 0.0000 2.1708
2.1708 0.0000 0.0000
2.1708 2.1708 2.1708
0.0000 0.0000 0.0000

MnPt3F GGA+U relaxed; crystal system = cubic; mass density = 11.692 Mg/m³; Fermi-level density of states = 4.65 states/eV per cell; calculated total energy = -3.99 eV/atom; polymorph energy (0 for the lowest one) = 989 meV per atom
1.0
-1.5970 -4.0138 -1.3989
3.2381 -2.1169 2.3773
-2.7536 -0.1615 3.6068
Mn Pt F
1 3 1
Cartesian
0.0000 0.0000 0.0000
1.6190 -1.0584 1.1886
-1.3768 -0.0807 1.8034
-0.7985 -2.0069 -0.6995
-0.5563 -3.1461 2.2926

Mn3PtF6 GGA+U relaxed; crystal system = triclinic; mass density = 5.068 Mg/m³; Fermi-level density of states = 0.00 states/eV per cell; calculated total energy = -6.00 eV/atom
1.0
-2.5268 -0.0826 4.8960
-4.1138 -3.6727 0.0941
5.7695 -4.3500 -3.9165
Mn Pt F
3 1 6
Cartesian
0.8278 -4.0114 -1.9112
-2.0569 -1.8364 0.0470
-1.2634 -0.0413 2.4480
0.0000 0.0000 0.0000
-3.6242 -3.4543 3.7599
2.7530 -4.6510 -2.6864
0.4718 -5.9400 -0.9752
-1.3430 -2.1652 2.0487
1.8593 -3.5093 -0.1439
-2.7304 -4.5960 1.2174

Mn2PtF GGA+U relaxed; crystal system = cubic; mass density = 8.465 Mg/m³; Fermi-level density of states = 1.34 states/eV per cell; calculated total energy = -6.30 eV/atom; polymorph energy (0 for the lowest one) = 171 meV per atom
1.0
0.0000 3.1673 3.1673
3.1673 0.0000 3.1673
3.1673 3.1673 0.0000
Mn Pt F
2 1 1
Cartesian
1.5836 1.5836 1.5836
4.7509 4.7509 4.7509
3.1673 3.1673 3.1673
0.0000 0.0000 0.0000

MnPtF6 GGA+U relaxed; crystal system = trigonal; mass density = 5.308 Mg/m³; Fermi-level density of states = 0.00 states/eV per cell; calculated total energy = -4.97 eV/atom
1.0
5.6341 0.0472 0.0326
3.1353 4.6813 0.0326
3.1353 1.6906 4.3655
Mn Pt F
1 1 6
Cartesian
0.0000 0.0000 0.0000
5.9524 3.2096 2.2153
6.9830 4.5542 1.1945
6.1196 4.3331 3.8346
4.2626 4.1207 1.7391
5.7851 2.0860 0.5961
4.9218 1.8649 3.2362
7.6421 2.2984 2.6916

Mn3PtF GGA+U relaxed; crystal system = cubic; mass density = 4.889 Mg/m³; Fermi-level density of states = 1.51 states/eV per cell; calculated total energy = -6.04 eV/atom; polymorph energy (0 for the lowest one) = 412 meV per atom
1.0
5.0489 0.0000 0.0000
0.0000 5.0489 0.0000
0.0000 0.0000 5.0489
Mn Pt F
3 1 1
Cartesian
0.0000 2.5244 0.0000
0.0000 0.0000 2.5244
2.5244 0.0000 0.0000
0.0000 0.0000 0.0000
2.5244 2.5244 2.5244

MnPt3F GGA+U relaxed; crystal system = cubic; mass density = 12.914 Mg/m³; Fermi-level density of states = 7.73 states/eV per cell; calculated total energy = -4.98 eV/atom; polymorph energy (0 for the lowest one) = 0 meV per atom
1.0
-2.7924 -2.0579 -2.6950
1.9773 -3.8245 0.8715
-2.7547 -0.6591 3.3575
Mn Pt F
1 3 1
Cartesian
-1.7849 -3.2707 0.7670
0.9886 -1.9122 0.4358
-1.3773 -0.3295 1.6788
-1.3962 -1.0289 -1.3475
0.0000 0.0000 0.0000